Entry 1:
Here is a crystal of Ti2Be2Sn relaxed with PBEsol from Alexandria via LeMat-Bulk. Energies are from SCAN.

Computed properties:
* space-group type: P4/mbm (127)

Cell and atoms, written as extended XYZ:
```
10
Lattice="-3.589 -0.430 -0.445 1.038 -4.815 -3.712 -0.150 -3.785 4.867" Properties=species:S:1:pos:R:3 pbc="T T T"
Ti -1.227 -6.580 1.350
Be 0.064 -2.013 1.431
Be 0.824 -6.587 -0.276
Ti -1.475 -2.450 -0.640
Be 0.265 -5.187 2.876
Sn 0.444 -4.300 0.578
Sn 0.000 0.000 0.000
Ti -1.721 -3.549 2.405
Be 0.623 -3.412 -1.721
Ti -0.981 -5.481 -1.695
```

Entry 2:
Here is a crystal of BeTlSn3 relaxed with PBEsol from Alexandria via LeMat-Bulk. Energies are from SCAN.

Computed properties:
* space-group type: Pm-3m (221)

Cell and atoms, written as extended XYZ:
```
5
Lattice="-2.307 -2.063 4.669 3.241 -4.551 -0.409 3.944 2.533 3.068" Properties=species:S:1:pos:R:3 pbc="T T T"
Be 2.438 -2.040 3.664
Sn 1.620 -2.275 -0.204
Sn 1.972 1.266 1.534
Sn -1.154 -1.031 2.334
Tl 0.000 0.000 0.000
```

Entry 3:
Here is a crystal of ZrBe3Sn relaxed with PBEsol from Alexandria via LeMat-Bulk. Energies are from SCAN.

Computed properties:
* space-group type: Pm-3m (221)

Cell and atoms, written as extended XYZ:
```
5
Lattice="4.626 0.000 0.000 0.000 4.626 0.000 0.000 0.000 4.626" Properties=species:S:1:pos:R:3 pbc="T T T"
Zr 0.000 0.000 0.000
Be 0.000 2.313 0.000
Sn 2.313 2.313 2.313
Be 2.313 0.000 0.000
Be 0.000 0.000 2.313
```

Calculated M_tot (μB per formula unit), listed in the same order as above: 0.0; 0.0; 0.0
Calculated formation energy from the elements (kJ/mol of atoms), listed in the same order as above: -27.89; 127.65; 150.54
Calculated E_tot (eV per atom), listed in the same order as above: -15.6267; -35.5721; -14.3758